Entry 1:
Computed, not measured: a relaxed structure of Er6PaS8 at the PBE-GGA level of DFT.

Summary:
* DOS at the Fermi energy: 12.18 states/eV/f.u.
* electronic total energy: -6.573 eV per atom
* formation energy without anion corrections: -1914 meV per atom

Cell lengths 7.718, 7.718, 7.718 Å; angles 60.00, 60.00, 60.00 degrees
Positions (direct):
1 Er 0.000 0.000 0.500
2 Er 0.000 0.500 0.000
3 Er 0.000 0.500 0.500
4 Er 0.500 0.000 0.000
5 Er 0.500 0.000 0.500
6 Er 0.500 0.500 0.000
7 Pa 0.000 0.000 0.000
8 S 0.250 0.250 0.250
9 S 0.255 0.255 0.745
10 S 0.255 0.745 0.255
11 S 0.255 0.745 0.745
12 S 0.745 0.255 0.255
13 S 0.745 0.255 0.745
14 S 0.745 0.745 0.255
15 S 0.750 0.750 0.750

***

Entry 2:
Computed, not measured: a relaxed structure of Sr4GeAsBr2 at the PBE-GGA level of DFT.

Summary:
* DOS at the Fermi energy: 4.76 states/eV/f.u.
* electronic total energy: -3.721 eV per atom
* formation energy without anion corrections: -1303 meV per atom

Cell lengths 8.014, 4.439, 8.150 Å; angles 90.00, 108.69, 90.00 degrees
Positions (direct):
1 Sr 0.239 0.000 0.214
2 Sr 0.251 0.500 0.777
3 Sr 0.749 0.500 0.223
4 Sr 0.761 0.000 0.786
5 Ge 0.500 0.000 0.000
6 As 0.000 0.500 0.000
7 Br 0.000 0.000 0.500
8 Br 0.500 0.500 0.500

***

Entry 3:
Computed, not measured: a relaxed structure of MgSbIr2 at the PBE-GGA level of DFT.

Summary:
* DOS at the Fermi energy: 2.55 states/eV/f.u.
* electronic total energy: -5.929 eV per atom
* formation energy without anion corrections: -69 meV per atom

Cell lengths 4.679, 4.679, 5.076 Å; angles 99.42, 99.42, 37.82 degrees
Positions (direct):
1 Mg 0.000 0.000 0.000
2 Sb 0.500 0.500 0.500
3 Ir 0.250 0.250 0.751
4 Ir 0.750 0.750 0.249